# PBE KH7N2, optimized geometry
data_KH7N2
_symmetry_space_group_name_H-M 'C m m m'
_symmetry_Int_Tables_number 65
_symmetry_space_group_name_Hall '-C 2 2'
_cell_length_a 4.100
_cell_length_b 12.341
_cell_length_c 4.252
_cell_angle_alpha 90.00
_cell_angle_beta 90.00
_cell_angle_gamma 90.00
loop_
_atom_site_label
_atom_site_fract_x
_atom_site_fract_y
_atom_site_fract_z
K1 0.000 0.000 0.000
H1 0.000 0.370 0.000
H2 0.000 0.500 0.500
H3 0.198 0.346 0.500
N1 0.000 0.396 0.500
# **D(E_F)**: 0.20 states/eV/atom
# **Uncorrected energy**: -3.962 eV/atom
# **Magnetization**: 0.00 μB per formula unit